# 1
VASP calculation (PBE+U) on a relaxed structure of NdFe2B2O7.

Computed properties:
space-group type	R32

abc: 9.004 9.004 9.004
angles: 32.36 32.36 32.36
Element x y z (fractional)
Nd 0.000 0.000 0.000
Fe 0.429 0.429 0.429
Fe 0.571 0.571 0.571
B 0.273 0.273 0.273
B 0.727 0.727 0.727
O 0.009 0.457 0.710
O 0.290 0.543 0.991
O 0.457 0.710 0.009
O 0.500 0.500 0.500
O 0.543 0.991 0.290
O 0.710 0.009 0.457
O 0.991 0.290 0.543

---

# 2
VASP calculation (PBE+U) on a relaxed structure of NdFe3B4O12.

Computed properties:
space-group type	R32

abc: 6.157 6.157 6.157
angles: 103.76 103.76 103.76
Element x y z (fractional)
Nd 0.000 0.000 0.000
Fe 0.000 0.449 0.551
Fe 0.449 0.551 0.000
Fe 0.551 0.000 0.449
B 0.053 0.947 0.500
B 0.500 0.053 0.947
B 0.500 0.500 0.500
B 0.947 0.500 0.053
O 0.029 0.790 0.626
O 0.090 0.500 0.910
O 0.210 0.971 0.374
O 0.357 0.500 0.643
O 0.374 0.210 0.971
O 0.500 0.643 0.357
O 0.500 0.910 0.090
O 0.626 0.029 0.790
O 0.643 0.357 0.500
O 0.790 0.626 0.029
O 0.910 0.090 0.500
O 0.971 0.374 0.210

---

no.,density of states at the Fermi level (states/eV/cell),V (Å³/f.u.),calculated total energy (eV per atom)
1,6.83,185.9,-7.52
2,0.00,209.2,-7.63